Th4TlBi: relaxed, PBE-GGA.

Cell: 6.453 7.708 7.708 Å, 90.00 90.00 90.00°
Positions (direct):
Th (0.000, 0.155, 0.650)
Th (0.000, 0.845, 0.350)
Th (0.000, 0.350, 0.155)
Th (0.000, 0.650, 0.845)
Th (0.500, 0.845, 0.650)
Th (0.500, 0.155, 0.350)
Th (0.500, 0.650, 0.155)
Th (0.500, 0.350, 0.845)
Tl (0.250, 0.500, 0.500)
Tl (0.750, 0.500, 0.500)
Bi (0.250, 0.000, 0.000)
Bi (0.750, 0.000, 0.000)

## Properties
- calculated total energy (eV/atom) = -6.210
- E_form (eV per atom) = -0.223
- calculated volume (Å³/cell) = 383.4